(1)
This record from the Alexandria database describes a crystal of K2AgSbMo relaxed with PBEsol. The functional is SCAN.

Computed properties:
Raw formation energy in eV per atom: 0.880
Space group: No. 123

POSCAR file:
```
K2AgSbMo
1.0
6.604 0.000 0.000
0.000 6.604 0.000
0.000 0.000 5.078
K Ag Sb Mo
2 1 1 1
direct
0.000 0.500 0.000
0.500 0.000 0.000
0.000 0.000 0.500
0.000 0.000 0.000
0.500 0.500 0.500
```

=====

(2)
This record from the Alexandria database describes a crystal of KAg2SnMo relaxed with PBEsol. The functional is SCAN.

Computed properties:
Space group: No. 123
Formation enthalpy at 0 K in eV/atom: 1.422

POSCAR file:
```
KAg2SnMo
1.0
5.142 0.000 0.000
0.000 5.142 0.000
0.000 0.000 5.540
K Ag Sn Mo
1 2 1 1
direct
0.000 0.000 0.000
0.000 0.500 0.500
0.500 0.000 0.500
0.500 0.500 0.000
0.000 0.000 0.500
```

=====

(3)
This record from the Alexandria database describes a crystal of KAgRuN2 relaxed with PBEsol. The functional is SCAN.

Computed properties:
Raw formation energy in eV per atom: 2.983
Space group: No. 123

POSCAR file:
```
KAgRuN2
1.0
4.299 0.000 0.000
0.000 4.299 0.000
0.000 0.000 5.001
K Ag Ru N
1 1 1 2
direct
0.000 0.000 0.000
0.000 0.000 0.500
0.500 0.500 0.500
0.000 0.500 0.000
0.500 0.000 0.000
```

=====

Table of size of the total moment (μB/cell), in record order: 6.0, 4.1, 6.8